Entry 1:
VASP calculation (PBE) on a relaxed structure of ZnSbMo2.

E_form (uncorrected) (eV per atom): 0.333
Density of states at the Fermi level (states/eV/atom): 0.813
Space-group type: No. 71

a = 5.195 Å, b = 5.195 Å, c = 5.195 Å
α = 142.17°, β = 126.99°, γ = 66.95°
Fractional positions:
Mo: 0.996 0.996 0.000
Mo: 0.504 0.504 0.000
Sb: 0.250 0.750 0.500
Zn: 0.750 0.250 0.500


Entry 2:
VASP calculation (PBE) on a relaxed structure of PrNd7Ho12.

Density of states at the Fermi level (states/eV/atom): 1.835
Space-group type: No. 148
Formation energy from the elements (eV per atom): 0.2297

a = 8.802 Å, b = 8.802 Å, c = 8.802 Å
α = 86.10°, β = 86.10°, γ = 86.10°
Fractional positions:
Pr: 0.000 0.000 0.000
Nd: 0.843 0.602 0.926
Nd: 0.398 0.074 0.157
Nd: 0.074 0.157 0.398
Nd: 0.500 0.500 0.500
Nd: 0.926 0.843 0.602
Nd: 0.602 0.926 0.843
Nd: 0.157 0.398 0.074
Ho: 0.852 0.259 0.724
Ho: 0.741 0.276 0.148
Ho: 0.620 0.133 0.496
Ho: 0.867 0.504 0.380
Ho: 0.276 0.148 0.741
Ho: 0.504 0.380 0.867
Ho: 0.496 0.620 0.133
Ho: 0.724 0.852 0.259
Ho: 0.133 0.496 0.620
Ho: 0.380 0.867 0.504
Ho: 0.259 0.724 0.852
Ho: 0.148 0.741 0.276


Entry 3:
VASP calculation (PBE) on a relaxed structure of Pm6GaNi2.

Density of states at the Fermi level (states/eV/atom): 0.987
Space-group type: No. 71
Formation energy from the elements (eV per atom): -0.2852

a = 8.557 Å, b = 8.557 Å, c = 8.557 Å
α = 106.04°, β = 108.79°, γ = 113.68°
Fractional positions:
Pm: 0.532 0.712 0.820
Pm: 0.468 0.288 0.180
Pm: 0.108 0.288 0.820
Pm: 0.892 0.712 0.180
Pm: 0.806 0.767 0.573
Pm: 0.194 0.233 0.427
Pm: 0.194 0.767 0.960
Pm: 0.806 0.233 0.040
Pm: 0.692 0.366 0.674
Pm: 0.308 0.634 0.326
Pm: 0.308 0.982 0.674
Pm: 0.692 0.018 0.326
Ga: 0.000 0.500 0.500
Ga: 0.000 0.000 0.000
Ni: 0.500 0.380 0.880
Ni: 0.500 0.620 0.120
Ni: 0.648 0.000 0.648
Ni: 0.352 0.000 0.352


Entry 4:
VASP calculation (PBE) on a relaxed structure of Pm2ThCu9.

Density of states at the Fermi level (states/eV/atom): 0.739
Space-group type: No. 166
Formation energy from the elements (eV per atom): -0.1385

a = 5.247 Å, b = 5.247 Å, c = 8.925 Å
α = 72.91°, β = 72.91°, γ = 60.00°
Fractional positions:
Pm: 0.855 0.855 0.434
Pm: 0.145 0.145 0.566
Th: 0.000 0.000 0.000
Cu: 0.669 0.669 0.994
Cu: 0.331 0.331 0.006
Cu: 0.500 0.500 0.500
Cu: 0.422 0.422 0.242
Cu: 0.914 0.422 0.242
Cu: 0.422 0.914 0.242
Cu: 0.578 0.578 0.758
Cu: 0.578 0.086 0.758
Cu: 0.086 0.578 0.758


Entry 5:
VASP calculation (PBE) on a relaxed structure of TbEuMg4.

Density of states at the Fermi level (states/eV/atom): 0.852
Space-group type: No. 216
Formation energy from the elements (eV per atom): -0.0794

a = 6.149 Å, b = 6.149 Å, c = 6.149 Å
α = 60.00°, β = 60.00°, γ = 60.00°
Fractional positions:
Eu: 0.250 0.250 0.250
Mg: 0.626 0.626 0.123
Mg: 0.626 0.123 0.626
Mg: 0.626 0.626 0.626
Mg: 0.123 0.626 0.626
Tb: 0.000 0.000 0.000


Entry 6:
VASP calculation (PBE) on a relaxed structure of Tb2ZnGa5.

Density of states at the Fermi level (states/eV/atom): 0.398
Space-group type: No. 107
Formation energy from the elements (eV per atom): -0.5022

a = 6.032 Å, b = 6.032 Å, c = 6.032 Å
α = 90.07°, β = 119.96°, γ = 119.96°
Fractional positions:
Tb: 0.500 0.277 0.777
Tb: 0.500 0.777 0.277
Zn: 0.000 0.794 0.794
Ga: 0.488 0.771 0.771
Ga: 0.000 0.771 0.283
Ga: 0.000 0.283 0.771
Ga: 0.512 0.283 0.283
Ga: 0.000 0.267 0.267